! NaCdSn | the Alexandria database | PBE | optimized geometry; values from VASP
! - crystal system = tetragonal
! - E_form (eV/f.u.) = -0.42
! - mass density (g/cm³) = 5.1
! - space-group type = P4/nmm, No. 129
&SYSTEM
  ibrav = 0, nat = 6, ntyp = 3
/
ATOMIC_SPECIES
Na 22.99 Na.upf
Cd 112.41 Cd.upf
Sn 118.71 Sn.upf
ATOMIC_POSITIONS crystal
Na 0.250 0.250 0.145
Na 0.750 0.750 0.855
Cd 0.250 0.750 0.500
Cd 0.750 0.250 0.500
Sn 0.250 0.250 0.746
Sn 0.750 0.750 0.254
CELL_PARAMETERS angstrom
4.474 0.000 0.000
0.000 4.474 0.000
0.000 0.000 8.216